The following is a GGA-PBE calculation of VCu after structural relaxation, from Alexandria.

Final energy in eV/atom: -6.349

Cell lengths 9.414, 9.414, 2.418 Å; angles 90.00, 90.00, 90.00 degrees
Atoms (fractional coordinates):
1 V 0.342 0.919 0.000
2 V 0.658 0.081 0.000
3 V 0.081 0.342 0.000
4 V 0.919 0.658 0.000
5 V 0.842 0.419 0.500
6 V 0.158 0.581 0.500
7 V 0.581 0.842 0.500
8 V 0.419 0.158 0.500
9 Cu 0.597 0.344 0.000
10 Cu 0.403 0.656 0.000
11 Cu 0.656 0.597 0.000
12 Cu 0.344 0.403 0.000
13 Cu 0.097 0.844 0.500
14 Cu 0.903 0.156 0.500
15 Cu 0.156 0.097 0.500
16 Cu 0.844 0.903 0.500